DFT (PBE) results for LiTm2AuO5 after structural relaxation.

Space-group type ... P4/mbm (127)
Raw total energy ... -6.531 eV/atom

The structure in CIF format:
```
data_LiTm2AuO5
_cell_length_a 5.851
_cell_length_b 6.407
_cell_length_c 6.407
_cell_angle_alpha 90.00
_cell_angle_beta 90.00
_cell_angle_gamma 90.00
_space_group_name_H-M_alt 'P 1'
_space_group_IT_number 1
loop_
_space_group_symop_operation_xyz
'x,y,z'
loop_
_atom_site_label
_atom_site_type_symbol
_atom_site_fract_x
_atom_site_fract_y
_atom_site_fract_z
O1 O 0.737 0.139 0.639
O2 O 0.500 0.500 0.500
O3 O 0.737 0.639 0.861
O4 O 0.263 0.639 0.861
O5 O 0.737 0.361 0.139
O6 O 0.737 0.861 0.361
O7 O 0.263 0.361 0.139
O8 O 0.263 0.139 0.639
O9 O 0.500 0.000 0.000
O10 O 0.263 0.861 0.361
Tm1 Tm 0.500 0.824 0.676
Tm2 Tm 0.500 0.176 0.324
Tm3 Tm 0.500 0.324 0.824
Tm4 Tm 0.500 0.676 0.176
Au1 Au 0.000 0.000 0.500
Au2 Au 0.000 0.500 0.000
Li1 Li 0.000 0.000 0.000
Li2 Li 0.000 0.500 0.500
```